Record 1
The following is a DFT calculation (PBE-GGA) of a relaxed structure of ZnWSe2.

Unit cell a=3.1179 b=3.1179 c=29.7060 alpha=90.00 beta=90.00 gamma=120.00
Last column: nearest neighbours and their distance in Å.
Fractional positions:
Zn  0.0000  0.0000  0.0000  3 Se 2.64, 3 W 2.84
Zn  0.3333  0.6667  0.6667  3 Se 2.64, 3 W 2.84
Zn  0.6667  0.3333  0.3333  3 Se 2.64, 3 W 2.84
W  0.0000  0.0000  0.7406  3 Se 2.51
W  0.3333  0.6667  0.4073  3 Se 2.51
W  0.6667  0.3333  0.0739  3 Se 2.51
Se  0.0000  0.0000  0.2683  3 Zn 2.64
Se  0.0000  0.0000  0.4664  3 W 2.51
Se  0.3333  0.6667  0.1330  3 W 2.51
Se  0.3333  0.6667  0.9350  3 Zn 2.64
Se  0.6667  0.3333  0.6017  3 Zn 2.64
Se  0.6667  0.3333  0.7997  3 W 2.51

Results
Density of states at the Fermi level ... 4.3 states/eV/f.u.
Crystal system ... trigonal
Mass density ... 8111 kg/m3

---

Record 2
The following is a DFT calculation (PBE-GGA) of a relaxed structure of ZnWSe.

Unit cell a=4.6690 b=4.6690 c=2.6301 alpha=90.00 beta=90.00 gamma=120.00
Last column: nearest neighbours and their distance in Å.
Fractional positions:
Zn  0.0000  0.0000  0.0000  2 Zn 2.63
W  0.3333  0.6667  0.5000  2 W 2.63, 3 Se 2.70
Se  0.6667  0.3333  0.5000  2 Se 2.63, 3 W 2.70

Results
Offset from the most stable computed form ... 434 meV/atom
Density of states at the Fermi level ... 1.1 states/eV/f.u.
Crystal system ... hexagonal
Mass density ... 10976 kg/m3

---

Record 3
The following is a DFT calculation (PBE-GGA) of a relaxed structure of ZnW4Se.

Unit cell a=5.3313 b=5.3313 c=5.3313 alpha=60.00 beta=60.00 gamma=60.00
Last column: nearest neighbours and their distance in Å.
Fractional positions:
Zn  0.0000  0.0000  0.0000  12 W 3.12, 4 Se 3.26
W  0.1222  0.6259  0.6259  6 W 2.65-2.69
W  0.6259  0.1222  0.6259  6 W 2.65-2.69
W  0.6259  0.6259  0.1222  6 W 2.65-2.69
W  0.6259  0.6259  0.6259  6 W 2.65-2.69
Se  0.2500  0.2500  0.2500  12 W 3.13, 4 Zn 3.26

Results
Density of states at the Fermi level ... 3.5 states/eV/f.u.
Crystal system ... cubic
Mass density ... 13634 kg/m3

---

Calculated formation energy from raw total energies, 93.6, 508.3, 853.3 meV per atom (same order as the records).
Calculated total magnetization, 0.0, 0.0, 0.0 μB/f.u. (same order as the records).
Calculated total DFT energy (no corrections), -5.205, -5.396, -8.575 eV per atom (same order as the records).